[1]
Computed, not measured: a relaxed TmNpPt crystal at the PBE-GGA level of DFT.

Calculated values
E: -8.13 eV/atom
distance to the lowest polymorph of the same formula: 0.00 kJ per mole of atoms
space group: F-43m
crystal system: cubic
calculated formation energy: -0.366 eV/atom
calculated density: 12.60 Mg/m³

abc: 4.821 4.821 4.821
angles: 60.00 60.00 60.00
Positions (direct):
Np (0.250, 0.250, 0.250)
Pt (0.000, 0.000, 0.000)
Tm (0.750, 0.750, 0.750)



[2]
Computed, not measured: a relaxed RbNaPm crystal at the PBE-GGA level of DFT.

Calculated values
E: -1.29 eV/atom
space group: F-43m
crystal system: cubic
calculated density: 2.73 Mg/m³

abc: 6.022 6.022 6.022
angles: 60.00 60.00 60.00
Positions (direct):
Na (0.250, 0.250, 0.250)
Pm (0.750, 0.750, 0.750)
Rb (0.000, 0.000, 0.000)



[3]
Computed, not measured: a relaxed Ho2Zn crystal at the PBE-GGA level of DFT.

Calculated values
E: -3.00 eV/atom
space group: Fd-3m
crystal system: cubic
calculated formation energy: 0.475 eV/atom
calculated density: 7.92 Mg/m³

abc: 6.165 6.165 6.165
angles: 60.00 60.00 60.00
Positions (direct):
Ho (0.625, 0.625, 0.125)
Ho (0.625, 0.125, 0.625)
Ho (0.125, 0.625, 0.625)
Ho (0.625, 0.625, 0.625)
Zn (0.000, 0.000, 0.000)
Zn (0.250, 0.250, 0.250)



[4]
Computed, not measured: a relaxed LiPd2Pt3 crystal at the PBE-GGA level of DFT.

Calculated values
E: -5.29 eV/atom
space group: P-3m1
crystal system: trigonal
calculated density: 14.80 Mg/m³

abc: 2.750 2.750 13.800
angles: 90.00 90.00 120.00
Positions (direct):
Li (0.000, 0.000, 0.000)
Pd (0.667, 0.333, 0.330)
Pd (0.333, 0.667, 0.670)
Pt (0.333, 0.667, 0.156)
Pt (0.000, 0.000, 0.500)
Pt (0.667, 0.333, 0.844)



[5]
Computed, not measured: a relaxed Cd3Re3N2 crystal at the PBE-GGA level of DFT.

Calculated values
E: -5.98 eV/atom
space group: P-4m2
crystal system: tetragonal
calculated density: 10.02 Mg/m³

abc: 3.756 3.756 10.854
angles: 90.00 90.00 90.00
Positions (direct):
Cd (0.500, 0.500, 0.000)
Cd (0.000, 0.000, 0.500)
Cd (0.500, 0.500, 0.500)
N (0.500, 0.000, 0.263)
N (0.000, 0.500, 0.737)
Re (0.000, 0.000, 0.000)
Re (0.000, 0.000, 0.226)
Re (0.000, 0.000, 0.774)



[6]
Computed, not measured: a relaxed Er7Co2Se2 crystal at the PBE-GGA level of DFT.

Calculated values
E: -5.59 eV/atom
space group: Imm2
crystal system: orthorhombic
calculated density: 9.36 Mg/m³

abc: 8.972 8.972 8.972
angles: 155.92 66.95 118.59
Positions (direct):
Co (0.485, 0.247, 0.238)
Co (0.010, 0.247, 0.762)
Er (0.321, 0.321, 0.000)
Er (0.864, 0.737, 0.127)
Er (0.259, 0.943, 0.316)
Er (0.941, 0.584, 0.358)
Er (0.226, 0.584, 0.642)
Er (0.626, 0.943, 0.684)
Er (0.610, 0.737, 0.873)
Se (0.983, 0.983, 0.000)
Se (0.581, 0.081, 0.500)



[7]
Computed, not measured: a relaxed TmAl3B4O12 crystal at the PBE-GGA level of DFT.

Calculated values
E: -7.92 eV/atom
space group: R32
crystal system: trigonal
calculated density: 4.53 Mg/m³

abc: 5.862 5.862 5.862
angles: 104.53 104.53 104.53
Positions (direct):
Al (0.444, 0.556, 0.000)
Al (0.556, 0.000, 0.444)
Al (0.000, 0.444, 0.556)
B (0.944, 0.500, 0.056)
B (0.500, 0.500, 0.500)
B (0.056, 0.944, 0.500)
B (0.500, 0.056, 0.944)
O (0.781, 0.632, 0.029)
O (0.500, 0.908, 0.092)
O (0.971, 0.368, 0.219)
O (0.500, 0.649, 0.351)
O (0.219, 0.971, 0.368)
O (0.908, 0.092, 0.500)
O (0.649, 0.351, 0.500)
O (0.029, 0.781, 0.632)
O (0.351, 0.500, 0.649)
O (0.632, 0.029, 0.781)
O (0.092, 0.500, 0.908)
O (0.368, 0.219, 0.971)
Tm (0.000, 0.000, 0.000)



[8]
Computed, not measured: a relaxed CsRb5Zn2O5 crystal at the PBE-GGA level of DFT.

Calculated values
E: -3.75 eV/atom
space group: Cm
crystal system: monoclinic
calculated density: 4.37 Mg/m³

abc: 6.966 6.966 6.901
angles: 91.14 91.14 118.85
Positions (direct):
Cs (0.700, 0.700, 0.004)
O (0.920, 0.195, 0.030)
O (0.195, 0.920, 0.030)
O (0.313, 0.313, 0.363)
O (0.803, 0.527, 0.576)
O (0.527, 0.803, 0.576)
Rb (0.592, 0.125, 0.308)
Rb (0.125, 0.592, 0.308)
Rb (0.009, 0.009, 0.622)
Rb (0.571, 0.141, 0.802)
Rb (0.141, 0.571, 0.802)
Zn (0.150, 0.150, 0.130)
Zn (0.557, 0.557, 0.503)



[9]
Computed, not measured: a relaxed LuSnB2 crystal at the PBE-GGA level of DFT.

Calculated values
E: -4.13 eV/atom
space group: F-43m
crystal system: cubic
calculated density: 7.62 Mg/m³

abc: 4.597 4.597 4.597
angles: 60.00 60.00 60.00
Positions (direct):
B (0.000, 0.000, 0.000)
B (0.250, 0.250, 0.250)
Lu (0.500, 0.500, 0.500)
Sn (0.750, 0.750, 0.750)



[10]
Computed, not measured: a relaxed Pt crystal at the PBE-GGA level of DFT.

Calculated values
E: -5.87 eV/atom
distance to the lowest polymorph of the same formula: 17.94 kJ per mole of atoms
space group: C2/m
crystal system: monoclinic
calculated formation energy: 0.186 eV/atom
calculated density: 13.01 Mg/m³

abc: 4.776 4.776 32.160
angles: 90.06 90.06 48.34
Positions (direct):
Pt (0.151, 0.151, 0.209)
Pt (0.848, 0.848, 0.230)
Pt (0.543, 0.543, 0.258)
Pt (0.252, 0.252, 0.290)
Pt (0.954, 0.954, 0.316)
Pt (0.651, 0.651, 0.345)
Pt (0.352, 0.352, 0.373)
Pt (0.053, 0.053, 0.401)
Pt (0.753, 0.753, 0.430)
Pt (0.451, 0.451, 0.457)
Pt (0.150, 0.150, 0.486)
Pt (0.850, 0.850, 0.514)
Pt (0.549, 0.549, 0.543)
Pt (0.247, 0.247, 0.570)
Pt (0.947, 0.947, 0.599)
Pt (0.648, 0.648, 0.627)
Pt (0.349, 0.349, 0.655)
Pt (0.046, 0.046, 0.684)
Pt (0.748, 0.748, 0.710)
Pt (0.457, 0.457, 0.742)
Pt (0.152, 0.152, 0.770)
Pt (0.849, 0.849, 0.791)



[11]
Computed, not measured: a relaxed Co17Ge crystal at the PBE-GGA level of DFT.

Calculated values
E: -6.87 eV/atom
distance to the lowest polymorph of the same formula: 0.46 kJ per mole of atoms
space group: P-3m1
crystal system: trigonal
calculated density: 5.36 Mg/m³

abc: 4.949 4.949 31.386
angles: 90.00 90.00 120.00
Positions (direct):
Co (0.000, 0.000, 0.000)
Co (0.500, 0.000, 0.000)
Co (0.000, 0.500, 0.000)
Co (0.500, 0.500, 0.000)
Co (0.333, 0.667, 0.065)
Co (0.333, 0.167, 0.065)
Co (0.833, 0.167, 0.065)
Co (0.833, 0.667, 0.065)
Co (0.166, 0.333, 0.130)
Co (0.166, 0.834, 0.130)
Co (0.667, 0.834, 0.130)
Co (0.667, 0.333, 0.131)
Co (0.000, 0.000, 0.194)
Co (0.502, 0.004, 0.195)
Co (0.502, 0.498, 0.195)
Co (0.996, 0.498, 0.195)
Co (0.334, 0.167, 0.258)
Co (0.833, 0.167, 0.258)
Co (0.833, 0.666, 0.258)
Co (0.167, 0.334, 0.742)
Co (0.167, 0.833, 0.742)
Co (0.666, 0.833, 0.742)
Co (0.004, 0.502, 0.805)
Co (0.498, 0.502, 0.805)
Co (0.498, 0.996, 0.805)
Co (0.000, 0.000, 0.806)
Co (0.333, 0.667, 0.869)
Co (0.333, 0.166, 0.870)
Co (0.834, 0.166, 0.870)
Co (0.834, 0.667, 0.870)
Co (0.167, 0.333, 0.935)
Co (0.167, 0.833, 0.935)
Co (0.667, 0.833, 0.935)
Co (0.667, 0.333, 0.935)
Ge (0.333, 0.667, 0.266)
Ge (0.667, 0.333, 0.734)



[12]
Computed, not measured: a relaxed MgAgTeO crystal at the PBE-GGA level of DFT.

Calculated values
E: -4.16 eV/atom
distance to the lowest polymorph of the same formula: 7.33 kJ per mole of atoms
space group: Cmcm
crystal system: orthorhombic
calculated density: 6.13 Mg/m³

abc: 2.944 5.626 9.136
angles: 90.00 80.73 90.00
Positions (direct):
Ag (0.834, 0.250, 0.332)
Ag (0.166, 0.750, 0.668)
Mg (0.495, 0.750, 0.010)
Mg (0.505, 0.250, 0.990)
O (0.000, 0.000, 0.000)
O (0.000, 0.500, 0.000)
Te (0.816, 0.750, 0.369)
Te (0.184, 0.250, 0.631)